# LiP3, relaxed, DFT GGA-PBE
# Total magnetic moment ... 0.0000 μB per atom
# Relative energy among the computed polymorphs ... 0.0000 eV/atom
# Volume ... 140.1 Å³ per cell
# D(E_F) ... 1.45 states/eV/f.u.
# E ... -0.335 Ry/atom
data_LiP3
_space_group_name_H-M_alt 'C 1 2/m 1'
_space_group_IT_number 12
_cell_length_a 11.248
_cell_length_b 3.117
_cell_length_c 4.184
_cell_angle_alpha 90.00
_cell_angle_beta 107.26
_cell_angle_gamma 90.00
loop_
_space_group_symop_operation_xyz
'x,y,z'
'-x,-y,-z'
'-x,y,-z'
'x,-y,z'
'x+1/2,y+1/2,z'
'-x+1/2,-y+1/2,-z'
'-x+1/2,y+1/2,-z'
'x+1/2,-y+1/2,z'
loop_
_atom_site_label
_atom_site_fract_x
_atom_site_fract_y
_atom_site_fract_z
Li1 0.000 0.000 0.000
P1 0.000 0.500 0.500
P2 0.228 0.500 0.653



# SrZnInNi, relaxed, DFT GGA-PBE
# Total magnetic moment ... 0.0000 μB per atom
# Relative energy among the computed polymorphs ... 0.1062 eV/atom
# Volume ... 188.1 Å³ per cell
# D(E_F) ... 1.45 states/eV/f.u.
# E ... -0.220 Ry/atom
data_SrZnInNi
_space_group_name_H-M_alt 'A m m 2'
_space_group_IT_number 38
_cell_length_a 4.279
_cell_length_b 3.984
_cell_length_c 11.033
_cell_angle_alpha 90.00
_cell_angle_beta 90.00
_cell_angle_gamma 90.00
loop_
_space_group_symop_operation_xyz
'x,y,z'
'-x,-y,z'
'-x,y,z'
'x,-y,z'
'x,y+1/2,z+1/2'
'-x,-y+1/2,z+1/2'
'-x,y+1/2,z+1/2'
'x,-y+1/2,z+1/2'
loop_
_atom_site_label
_atom_site_fract_x
_atom_site_fract_y
_atom_site_fract_z
Sr1 0.000 0.000 0.000
Zn1 0.000 0.000 0.281
In1 0.500 0.000 0.708
Ni1 0.500 0.000 0.377